# La2TlHg | the Alexandria database | GGA-PBEsol | relaxed
data_La2TlHg
_chemical_formula_sum 'La4 Tl2 Hg2'
_space_group_name_H-M_alt 'I -4 m 2'
_space_group_IT_number 119
_space_group_name_Hall 'I -4 -2'
_cell_length_a 4.6392
_cell_length_b 4.6392
_cell_length_c 10.3440
_cell_angle_alpha 90.00
_cell_angle_beta 90.00
_cell_angle_gamma 90.00
loop_
_atom_site_label
_atom_site_fract_x
_atom_site_fract_y
_atom_site_fract_z
_atom_site_occupancy
La1 0.0000 0.0000 0.0000 1
La2 0.0000 0.5000 0.2500 1
Tl1 0.0000 0.0000 0.5000 1
Hg1 0.0000 0.5000 0.7500 1
# E_form   -435 meV/atom
# DOS at the Fermi energy   1.1316 states/eV/atom
# Total moment   0.0 Bohr magnetons per cell